MnNi2Se, optimized geometry, DFT PBE-GGA; symmetry = No. 123; uncorrected energy = -6.06 eV/atom; crystal system = tetragonal; volume = 13.16 Å³/atom
1.0
3.211 0.000 0.000
0.000 3.211 0.000
0.000 0.000 5.104
Mn Ni Se
1 2 1
Direct
0.000 0.000 0.000
0.500 0.500 0.244
0.500 0.500 0.756
0.000 0.000 0.500